[1]
Crystalline LiSnPt2 at its relaxed geometry. Source: the Alexandria database, functional PBE-GGA.

Output
DFT formation energy: -0.283 eV/atom
symmetry: I-42d
total magnetic moment: 0.000 μB/atom
E: -4.78 eV/atom

Lattice parameters (Å, degrees): 9.3661 9.3661 9.3661 155.38 155.38 35.10
Atoms (fractional coordinates):
Li 0.0000 0.0000 0.0000
Li 0.7500 0.2500 0.5000
Sn 0.2500 0.7500 0.5000
Sn 0.5000 0.5000 0.0000
Pt 0.1049 0.6250 0.9799
Pt 0.3750 0.3549 0.4799
Pt 0.6451 0.1250 0.0201
Pt 0.8750 0.8951 0.5201

***

[2]
Crystalline Li8Sn6Pt at its relaxed geometry. Source: the Alexandria database, functional PBE-GGA.

Output
DFT formation energy: -0.295 eV/atom
symmetry: R-3
total magnetic moment: 0.000 μB/atom
E: -3.32 eV/atom

Lattice parameters (Å, degrees): 7.4584 7.4584 7.4584 65.34 65.34 65.34
Atoms (fractional coordinates):
Li 0.0574 0.7075 0.3819
Li 0.1688 0.1688 0.1688
Li 0.2925 0.6181 0.9426
Li 0.3819 0.0574 0.7075
Li 0.6181 0.9426 0.2925
Li 0.7075 0.3819 0.0574
Li 0.8312 0.8312 0.8312
Li 0.9426 0.2925 0.6181
Sn 0.1203 0.4477 0.7770
Sn 0.2230 0.8797 0.5523
Sn 0.4477 0.7770 0.1203
Sn 0.5523 0.2230 0.8797
Sn 0.7770 0.1203 0.4477
Sn 0.8797 0.5523 0.2230
Pt 0.5000 0.5000 0.5000

***

[3]
Crystalline LiSnPt4 at its relaxed geometry. Source: the Alexandria database, functional PBE-GGA.

Output
DFT formation energy: -0.340 eV/atom
symmetry: F-43m
total magnetic moment: 0.000 μB/atom
E: -5.35 eV/atom

Lattice parameters (Å, degrees): 5.3440 5.3440 5.3440 60.00 60.00 60.00
Atoms (fractional coordinates):
Li 0.0000 0.0000 0.0000
Sn 0.2500 0.2500 0.2500
Pt 0.1247 0.6251 0.6251
Pt 0.6251 0.1247 0.6251
Pt 0.6251 0.6251 0.1247
Pt 0.6251 0.6251 0.6251

***

[4]
Crystalline Li6Sn2Pt at its relaxed geometry. Source: the Alexandria database, functional PBE-GGA.

Output
DFT formation energy: -0.362 eV/atom
symmetry: C2/m
total magnetic moment: 0.000 μB/atom
E: -3.20 eV/atom

Lattice parameters (Å, degrees): 7.6606 7.6606 2.9719 90.79 90.79 60.05
Atoms (fractional coordinates):
Li 0.1820 0.8181 0.0000
Li 0.1826 0.5001 0.9960
Li 0.5001 0.1826 0.9960
Li 0.4999 0.8174 0.0040
Li 0.8174 0.4999 0.0040
Li 0.8181 0.1820 0.0000
Sn 0.1673 0.1673 0.4996
Sn 0.8327 0.8327 0.5004
Pt 0.5000 0.5000 0.5000